# MgTaZn2

A relaxed structure of MgTaZn2 (PBE-GGA, Alexandria via LeMat-Bulk).

a = 9.0513 Å, b = 2.8437 Å, c = 5.4837 Å
α = 90.00°, β = 98.49°, γ = 90.00°
Last column: nearest neighbours and their distance in Å.
Space group C2/m (No. 12)
Symmetry-distinct sites (fractional):
Mg 0.0000 0.0000 0.0000 [2 per cell]  2 Mg 2.84, 6 Zn 2.86-2.88, 4 Ta 3.09
Ta 0.0000 0.5000 0.5000 [2 per cell]  6 Zn 2.76-2.82, 2 Ta 2.84, 4 Mg 3.09
Zn 0.2501 0.0000 0.7351 [4 per cell]  3 Ta 2.76-2.82, 4 Zn 2.84-2.94, 3 Mg 2.86-2.88

Results
- Final energy: -3.810 eV/atom

=====

# Mg3TaZn

A relaxed structure of Mg3TaZn (PBE-GGA, Alexandria via LeMat-Bulk).

a = 5.5339 Å, b = 5.5339 Å, c = 5.5339 Å
α = 90.00°, β = 90.00°, γ = 90.00°
Last column: nearest neighbours and their distance in Å.
Space group Pm-3m (No. 221)
Symmetry-distinct sites (fractional):
Mg 0.0000 0.0000 0.5000 [3 per cell]  2 Ta 2.77
Ta 0.0000 0.0000 0.0000 [1 per cell]  6 Mg 2.77
Zn 0.5000 0.5000 0.5000 [1 per cell]  12 Mg 3.91

Results
- Polymorph energy (0 for the lowest one): 450 meV per atom
- Final energy: -2.230 eV/atom

=====

# MgTa2Zn

A relaxed structure of MgTa2Zn (PBE-GGA, Alexandria via LeMat-Bulk).

a = 2.9408 Å, b = 4.0376 Å, c = 6.0969 Å
α = 90.00°, β = 93.46°, γ = 90.00°
Last column: nearest neighbours and their distance in Å.
Space group Pm (No. 6)
Symmetry-distinct sites (fractional):
Mg 0.0000 0.0000 0.0000 [1 per cell]  4 Zn 2.78-2.96, 2 Mg 2.94, 6 Ta 3.00-3.09
Ta 0.0377 0.0000 0.5077 [1 per cell]  6 Ta 2.85-2.94, 4 Zn 2.90-3.02, 2 Mg 3.01-3.09
Ta 0.5151 0.5000 0.2802 [1 per cell]  6 Ta 2.85-2.94, 2 Zn 2.98-3.12, 4 Mg 3.00-3.05
Zn 0.5297 0.5000 0.7690 [1 per cell]  4 Mg 2.78-2.96, 5 Ta 2.90-3.02, 2 Zn 2.94

Results
- Polymorph energy (0 for the lowest one): 135 meV per atom
- Final energy: -6.445 eV/atom

=====

# MgTaZn2

A relaxed structure of MgTaZn2 (PBE-GGA, Alexandria via LeMat-Bulk).

a = 3.9195 Å, b = 3.9195 Å, c = 8.7793 Å
α = 90.00°, β = 90.00°, γ = 90.00°
Last column: nearest neighbours and their distance in Å.
Space group I-4m2 (No. 119)
Symmetry-distinct sites (fractional):
Mg 0.0000 0.0000 0.0000 [2 per cell]  8 Zn 2.77-2.94, 4 Ta 2.94
Ta 0.0000 0.5000 0.7500 [2 per cell]  8 Zn 2.77-2.94, 4 Mg 2.94
Zn 0.0000 0.0000 0.5000 [2 per cell]  4 Mg 2.77, 4 Ta 2.94, 4 Zn 2.94
Zn 0.0000 0.5000 0.2500 [2 per cell]  4 Ta 2.77, 4 Mg 2.94, 4 Zn 2.94

Results
- Final energy: -3.725 eV/atom

=====

# MgTaZn2

A relaxed structure of MgTaZn2 (PBE-GGA, Alexandria via LeMat-Bulk).

a = 2.9469 Å, b = 2.9469 Å, c = 7.6640 Å
α = 90.00°, β = 90.00°, γ = 90.00°
Last column: nearest neighbours and their distance in Å.
Space group P4/mmm (No. 123)
Symmetry-distinct sites (fractional):
Mg 0.0000 0.0000 0.0000 [1 per cell]  8 Zn 2.84, 4 Mg 2.95
Ta 0.0000 0.0000 0.5000 [1 per cell]  8 Zn 2.82, 4 Ta 2.95
Zn 0.5000 0.5000 0.2521 [2 per cell]  4 Ta 2.82, 4 Mg 2.84, 4 Zn 2.95

Results
- Final energy: -4.008 eV/atom

=====

# MgTa2Zn

A relaxed structure of MgTa2Zn (PBE-GGA, Alexandria via LeMat-Bulk).

a = 10.2179 Å, b = 2.9128 Å, c = 5.1873 Å
α = 90.00°, β = 113.02°, γ = 90.00°
Last column: nearest neighbours and their distance in Å.
Space group Cm (No. 8)
Symmetry-distinct sites (fractional):
Mg 0.0000 0.0000 0.0000 [2 per cell]  3 Zn 2.78-2.80, 2 Mg 2.91, 7 Ta 2.95-3.09
Ta 0.0167 0.5000 0.5071 [2 per cell]  5 Ta 2.78-2.91, 2 Zn 2.89, 4 Mg 2.95-3.00
Ta 0.2659 0.5000 0.4110 [2 per cell]  5 Ta 2.78-2.91, 4 Zn 2.92-3.04, 3 Mg 3.06-3.09
Zn 0.2520 0.0000 0.9133 [2 per cell]  3 Mg 2.78-2.80, 6 Ta 2.89-3.04, 2 Zn 2.91

Results
- Polymorph energy (0 for the lowest one): 121 meV per atom
- Final energy: -6.460 eV/atom

=====

# MgTaZn3

A relaxed structure of MgTaZn3 (PBE-GGA, Alexandria via LeMat-Bulk).

a = 4.5614 Å, b = 4.5614 Å, c = 4.5614 Å
α = 90.00°, β = 90.00°, γ = 90.00°
Last column: nearest neighbours and their distance in Å.
Space group Pm-3m (No. 221)
Symmetry-distinct sites (fractional):
Mg 0.0000 0.0000 0.0000 [1 per cell]  6 Zn 2.28
Ta 0.5000 0.5000 0.5000 [1 per cell]  12 Zn 3.23
Zn 0.0000 0.0000 0.5000 [3 per cell]  2 Mg 2.28

Results
- Polymorph energy (0 for the lowest one): 208 meV per atom
- Final energy: -2.266 eV/atom

=====

# MgTa2Zn2

A relaxed structure of MgTa2Zn2 (PBE-GGA, Alexandria via LeMat-Bulk).

a = 7.7560 Å, b = 7.7560 Å, c = 2.9795 Å
α = 90.00°, β = 90.00°, γ = 90.00°
Last column: nearest neighbours and their distance in Å.
Space group P4/mbm (No. 127)
Symmetry-distinct sites (fractional):
Mg 0.0000 0.0000 0.0000 [2 per cell]  4 Zn 2.88, 2 Mg 2.98
Ta 0.1262 0.3738 0.5000 [4 per cell]  6 Zn 2.68-2.77, 3 Ta 2.77-2.98
Zn 0.1711 0.6711 0.0000 [4 per cell]  6 Ta 2.68-2.77, 2 Mg 2.88, 2 Zn 2.98

Results
- Final energy: -5.335 eV/atom

=====

# MgTaZn2

A relaxed structure of MgTaZn2 (PBE-GGA, Alexandria via LeMat-Bulk).

a = 5.9584 Å, b = 7.9640 Å, c = 2.8102 Å
α = 90.00°, β = 90.65°, γ = 90.00°
Last column: nearest neighbours and their distance in Å.
Space group C2/m (No. 12)
Symmetry-distinct sites (fractional):
Mg 0.0000 0.0000 0.0000 [2 per cell]  2 Mg 2.81, 8 Zn 2.85-2.86, 2 Ta 2.98
Ta 0.0000 0.5000 0.0000 [2 per cell]  2 Ta 2.81, 8 Zn 2.85-2.86, 2 Mg 2.98
Zn 0.2500 0.2500 0.5000 [4 per cell]  4 Zn 2.81-2.98, 4 Ta 2.85-2.86, 4 Mg 2.85-2.86

Results
- Final energy: -3.953 eV/atom

=====

# MgTaZn

A relaxed structure of MgTaZn (PBE-GGA, Alexandria via LeMat-Bulk).

a = 4.4337 Å, b = 4.4337 Å, c = 19.5848 Å
α = 90.00°, β = 90.00°, γ = 120.00°
Last column: nearest neighbours and their distance in Å.
Space group R-3m (No. 166, hexagonal axes)
Symmetry-distinct sites (fractional):
Mg 0.0000 0.0000 0.1260 [6 per cell]  3 Zn 2.61
Ta 0.0000 0.0000 0.2987 [6 per cell]  4 Zn 2.65-2.87, 3 Ta 2.90
Zn 0.0000 0.0000 0.4337 [6 per cell]  1 Zn 2.60, 3 Mg 2.61, 4 Ta 2.65-2.87

Results
- Polymorph energy (0 for the lowest one): 287 meV per atom
- Final energy: -4.541 eV/atom

=====

| no. | DFT formation energy (eV/f.u.) |
| --- | --- |
| 1 | 0.8 |
| 2 | 6.8 |
| 3 | 0.8 |
| 4 | 1.1 |
| 5 | 0.0 |
| 6 | 0.7 |
| 7 | 5.9 |
| 8 | 1.2 |
| 9 | 0.2 |
| 10 | 1.1 |